A plane-wave DFT calculation with PBE-GGA was carried out for a relaxed NdNiSn2 crystal.

Cell: 13.031 13.031 3.107 Å, 90.00 90.00 156.76°
Atoms (fractional coordinates):
Nd1 0.070 0.930 0.000
Nd2 0.930 0.070 0.000
Ni1 0.454 0.546 0.000
Ni2 0.546 0.454 0.000
Sn1 0.211 0.789 0.000
Sn2 0.352 0.648 0.000
Sn3 0.648 0.352 0.000
Sn4 0.789 0.211 0.000

Calculated values
* symmetry: Cmmm (65)

A plane-wave DFT calculation with PBE-GGA was carried out for a relaxed TbNdNi2Sn4 crystal.

Cell: 4.516 9.422 9.422 Å, 26.91 90.00 90.00°
Atoms (fractional coordinates):
Tb1 0.000 0.000 0.000
Nd1 0.500 0.218 0.218
Ni1 0.000 0.790 0.790
Ni2 0.500 0.429 0.429
Sn1 0.000 0.362 0.362
Sn2 0.000 0.655 0.655
Sn3 0.500 0.562 0.562
Sn4 0.500 0.858 0.858

Calculated values
* symmetry: Amm2 (38)

A plane-wave DFT calculation with PBE-GGA was carried out for a relaxed Nd2YNi4Sn4 crystal.

Cell: 8.400 8.400 8.400 Å, 148.83 131.22 59.03°
Atoms (fractional coordinates):
Nd1 0.132 0.132 0.000
Nd2 0.868 0.868 0.000
Y1 0.500 0.000 0.500
Ni1 0.139 0.326 0.813
Ni2 0.487 0.674 0.813
Ni3 0.513 0.326 0.187
Ni4 0.861 0.674 0.187
Sn1 0.208 0.500 0.708
Sn2 0.285 0.785 0.500
Sn3 0.715 0.215 0.500
Sn4 0.792 0.500 0.292

Calculated values
* symmetry: Immm (71)

A plane-wave DFT calculation with PBE-GGA was carried out for a relaxed NdYNi2Sn crystal.

Cell: 3.715 7.278 7.278 Å, 32.20 90.00 90.00°
Atoms (fractional coordinates):
Nd1 0.000 0.000 0.000
Y1 0.000 0.271 0.271
Ni1 0.500 0.435 0.435
Ni2 0.500 0.833 0.833
Sn1 0.500 0.639 0.639

Calculated values
* symmetry: Amm2 (38)

A plane-wave DFT calculation with PBE-GGA was carried out for a relaxed TbNdNi4 crystal.

Cell: 5.437 5.437 8.052 Å, 90.00 90.00 120.00°
Atoms (fractional coordinates):
Tb1 0.333 0.667 0.000
Tb2 0.667 0.333 0.000
Nd1 0.000 0.000 0.000
Nd2 0.000 0.000 0.500
Ni1 0.000 0.500 0.275
Ni2 0.000 0.500 0.725
Ni3 0.333 0.667 0.500
Ni4 0.500 0.000 0.275
Ni5 0.500 0.000 0.725
Ni6 0.500 0.500 0.275
Ni7 0.500 0.500 0.725
Ni8 0.667 0.333 0.500

Calculated values
* symmetry: P6/mmm (191)
* excess energy over the best structure of this formula in the dataset: 359 meV/atom
* formation enthalpy at 0 K: -0.07 eV/f.u.

A plane-wave DFT calculation with PBE-GGA was carried out for a relaxed TbNdNi4 crystal.

Cell: 5.094 5.094 5.094 Å, 60.00 60.00 60.00°
Atoms (fractional coordinates):
Tb1 0.000 0.000 0.000
Nd1 0.750 0.750 0.750
Ni1 0.374 0.374 0.374
Ni2 0.374 0.374 0.879
Ni3 0.374 0.879 0.374
Ni4 0.879 0.374 0.374

Calculated values
* symmetry: F-43m (216)
* excess energy over the best structure of this formula in the dataset: 0 meV/atom
* formation enthalpy at 0 K: -2.22 eV/f.u.

Number 1: VASP energy -17.59 eV/f.u.. Number 2: VASP energy -40.98 eV/f.u.. Number 3: VASP energy -60.27 eV/f.u.. Number 4: VASP energy -29.18 eV/f.u.. Number 5: VASP energy -31.73 eV/f.u.. Number 6: VASP energy -33.89 eV/f.u..